#i
# GeTeRuN2 (GGA-PBE, optimized geometry)
# - DOS(E_F) (states/eV per atom) = 0.805
# - space-group type = P4/mmm (123)
data_GeTeRuN2
_symmetry_space_group_name_H-M 'P 1'
_symmetry_Int_Tables_number 1
_cell_length_a 3.686
_cell_length_b 3.686
_cell_length_c 7.250
_cell_angle_alpha 90.00
_cell_angle_beta 90.00
_cell_angle_gamma 90.00
loop_
_symmetry_equiv_pos_as_xyz
'x,y,z'
loop_
_atom_site_label
_atom_site_type_symbol
_atom_site_fract_x
_atom_site_fract_y
_atom_site_fract_z
N1 N 0.500 0.000 0.000
Ge1 Ge 0.000 0.000 0.000
N2 N 0.000 0.500 0.000
Te1 Te 0.000 0.000 0.500
Ru1 Ru 0.500 0.500 0.500

***

#ii
# GeTeRuN2 (GGA-PBE, optimized geometry)
# - DOS(E_F) (states/eV per atom) = 0.695
# - space-group type = P4/mmm (123)
data_GeTeRuN2
_symmetry_space_group_name_H-M 'P 1'
_symmetry_Int_Tables_number 1
_cell_length_a 3.914
_cell_length_b 3.914
_cell_length_c 5.616
_cell_angle_alpha 90.00
_cell_angle_beta 90.00
_cell_angle_gamma 90.00
loop_
_symmetry_equiv_pos_as_xyz
'x,y,z'
loop_
_atom_site_label
_atom_site_type_symbol
_atom_site_fract_x
_atom_site_fract_y
_atom_site_fract_z
Ge1 Ge 0.500 0.500 0.500
N1 N 0.000 0.500 0.000
Ru1 Ru 0.000 0.000 0.000
N2 N 0.500 0.000 0.000
Te1 Te 0.000 0.000 0.500

***

Stability verdict: #ii, ahead by 0.593 eV/atom